No. 1
DFT (GGA-PBE) results for TmTl4I7 after structural relaxation.

a = 23.1859 Å, b = 5.8432 Å, c = 8.4368 Å
α = 90.00°, β = 107.38°, γ = 90.00°
With the nearest neighbours (Å) after each atom.
Space group C2/m (No. 12)
Symmetry-distinct sites (fractional):
Tm (0.0000, 0.0000, 0.0000) [2 per cell]  6 I 2.92-3.00
Tl (0.0819, 0.5000, 0.6432) [4 per cell]  3 I 3.23-3.56
Tl (0.1877, 0.5000, 0.2639) [4 per cell]  3 I 3.35-3.51
I (0.0000, 0.5000, 0.0000) [2 per cell]  2 Tm 2.92
I (0.0771, 0.0000, 0.3556) [4 per cell]  1 Tm 3.00
I (0.1130, 0.0000, 0.8967) [4 per cell]  1 Tm 3.00
I (0.2245, 0.5000, 0.6790) [4 per cell]  4 Tl 3.23-3.51

As for the density: 5.708 Mg/m³. The calculation puts the uncorrected formation energy at -10.24 eV per formula unit.

No. 2
DFT (GGA-PBE) results for Ca2FeH after structural relaxation.

a = 6.9600 Å, b = 6.9600 Å, c = 6.9600 Å
α = 90.00°, β = 90.00°, γ = 90.00°
With the nearest neighbours (Å) after each atom.
Space group Fm-3m (No. 225)
Symmetry-distinct sites (fractional):
Ca (0.2500, 0.2500, 0.2500) [8 per cell]  4 H 3.01, 4 Fe 3.01
Fe (0.0000, 0.0000, 0.0000) [4 per cell]  8 Ca 3.01
H (0.0000, 0.0000, 0.5000) [4 per cell]  8 Ca 3.01

The electronic total energy is -3.370 eV per atom. As for the density: 2.699 Mg/m³.

No. 3
DFT (GGA-PBE) results for Hf2RuSe2 after structural relaxation.

a = 7.2157 Å, b = 7.2157 Å, c = 3.4170 Å
α = 90.00°, β = 90.00°, γ = 90.00°
With the nearest neighbours (Å) after each atom.
Space group P4/mbm (No. 127)
Symmetry-distinct sites (fractional):
Hf (0.1558, 0.3442, 0.0000) [4 per cell]  6 Se 2.63-2.78
Ru (0.0000, 0.0000, 0.5000) [2 per cell]  4 Se 2.75
Se (0.1487, 0.6487, 0.5000) [4 per cell]  6 Hf 2.63-2.78, 2 Ru 2.75

As for the density: 11.498 Mg/m³. The calculation puts the uncorrected formation energy at -2.44 eV per formula unit.

No. 4
DFT (GGA-PBE) results for CrOsAu after structural relaxation.

a = 2.8425 Å, b = 3.6011 Å, c = 8.8225 Å
α = 90.00°, β = 90.00°, γ = 90.00°
With the nearest neighbours (Å) after each atom.
Space group Imm2 (No. 44)
Symmetry-distinct sites (fractional):
Cr (0.0000, 0.0000, 0.0000) [2 per cell]  4 Os 2.55, 5 Au 2.79-2.81, 2 Cr 2.84
Os (0.0000, 0.0000, 0.6256) [2 per cell]  4 Cr 2.55, 5 Au 2.73-2.84, 2 Os 2.84
Au (0.0000, 0.0000, 0.3160) [2 per cell]  5 Os 2.73-2.84, 5 Cr 2.79-2.81, 2 Au 2.84

As for the density: 16.151 Mg/m³. The value obtained for the formation energy is 0.349 eV/atom.

No. 5
DFT (GGA-PBE) results for In2RhCl after structural relaxation.

a = 3.9413 Å, b = 3.9413 Å, c = 11.5547 Å
α = 90.00°, β = 90.00°, γ = 90.00°
With the nearest neighbours (Å) after each atom.
Space group I-4m2 (No. 119)
Symmetry-distinct sites (fractional):
In (0.0000, 0.0000, 0.0000) [2 per cell]  4 Cl 2.79
In (0.0000, 0.5000, 0.2500) [2 per cell]  4 Rh 2.79
Rh (0.0000, 0.5000, 0.7500) [2 per cell]  4 In 2.79
Cl (0.0000, 0.0000, 0.5000) [2 per cell]  4 In 2.79

As for the density: 6.809 Mg/m³. The calculation puts the uncorrected formation energy at 0.09 eV per formula unit.

No. 6
DFT (GGA-PBE) results for PmZnCd2 after structural relaxation.

a = 7.0933 Å, b = 7.1041 Å, c = 7.1302 Å
α = 90.00°, β = 90.00°, γ = 90.00°
With the nearest neighbours (Å) after each atom.
Space group F222 (No. 22)
Symmetry-distinct sites (fractional):
Pm (0.0000, 0.0000, 0.0000) [4 per cell]  4 Cd 3.08, 4 Zn 3.08
Zn (0.2500, 0.2500, 0.2500) [4 per cell]  4 Cd 3.08, 4 Pm 3.08
Cd (0.0000, 0.0000, 0.5000) [4 per cell]  4 Cd 3.08, 4 Zn 3.08
Cd (0.2500, 0.2500, 0.7500) [4 per cell]  4 Cd 3.08, 4 Pm 3.08

As for the density: 8.046 Mg/m³. The value obtained for the formation energy is -0.292 eV/atom.

The highest density belongs to which entry? CrOsAu

Look up the density of the third one. 11.498 Mg/m³

What is the formula in the first record? TmTl4I7

What is the density in the first record? 5.708 Mg/m³